The following is a DFT calculation (PBE) of a geometry-optimized LiGa6Ni8 structure.

Values from the calculation:
Calculated volume = 204.9 Å³ per cell
ΔE_f = -0.172 eV per atom
Symmetry = No. 148

Unit cell a=6.314 b=6.314 c=6.314 alpha=67.06 beta=67.06 gamma=67.06
Sites, in units of the cell vectors:
Li 0.000 0.000 0.000
Ga 0.071 0.400 0.720
Ga 0.280 0.929 0.600
Ga 0.400 0.720 0.071
Ga 0.600 0.280 0.929
Ga 0.720 0.071 0.400
Ga 0.929 0.600 0.280
Ni 0.100 0.783 0.444
Ni 0.217 0.556 0.900
Ni 0.331 0.331 0.331
Ni 0.444 0.100 0.783
Ni 0.556 0.900 0.217
Ni 0.669 0.669 0.669
Ni 0.783 0.444 0.100
Ni 0.900 0.217 0.556